Record 1
Sr2CuAg2 | PBE | optimized geometry

Lattice parameters (Å, degrees): 7.907 7.907 4.464 90.00 90.00 90.00
Sites, in units of the cell vectors:
Sr1 0.177 0.323 0.000
Sr2 0.323 0.823 0.000
Sr3 0.677 0.177 0.000
Sr4 0.823 0.677 0.000
Cu1 0.000 0.000 0.500
Cu2 0.500 0.500 0.500
Ag1 0.127 0.627 0.500
Ag2 0.373 0.127 0.500
Ag3 0.627 0.873 0.500
Ag4 0.873 0.373 0.500

Calculated values
Density = 5.41 g/cm3
Total DFT energy (no corrections) = -0.1002 Ha/atom
E_form = -0.094 eV/atom



Record 2
GaRe3Tc | PBE | optimized geometry

Lattice parameters (Å, degrees): 4.692 4.692 4.692 90.00 90.00 90.00
Sites, in units of the cell vectors:
Ga1 0.000 0.000 0.000
Re1 0.000 0.500 0.500
Re2 0.500 0.000 0.500
Re3 0.500 0.500 0.000
Tc1 0.500 0.500 0.500

Calculated values
Density = 11.68 g/cm3
Total DFT energy (no corrections) = -0.2954 Ha/atom
E_form = 2.110 eV/atom



Record 3
TeSIO2 | PBE | optimized geometry

Lattice parameters (Å, degrees): 4.010 4.010 6.976 90.00 90.00 90.00
Sites, in units of the cell vectors:
Te1 0.000 0.000 0.000
S1 0.500 0.500 0.500
I1 0.500 0.500 0.000
O1 0.000 0.500 0.500
O2 0.500 0.000 0.500

Calculated values
Energy relative to the elements, uncorrected = 2.88 eV/f.u.
Density = 4.71 g/cm3
Total DFT energy (no corrections) = -0.1166 Ha/atom



Record 4
CuH2Ru | PBE | optimized geometry

Lattice parameters (Å, degrees): 5.052 5.052 5.052 90.00 90.00 90.00
Sites, in units of the cell vectors:
Cu1 0.000 0.000 0.000
Cu2 0.000 0.500 0.500
Cu3 0.500 0.000 0.500
Cu4 0.500 0.500 0.000
H1 0.250 0.250 0.250
H2 0.250 0.250 0.750
H3 0.250 0.750 0.250
H4 0.250 0.750 0.750
H5 0.750 0.250 0.250
H6 0.750 0.250 0.750
H7 0.750 0.750 0.250
H8 0.750 0.750 0.750
Ru1 0.000 0.000 0.500
Ru2 0.000 0.500 0.000
Ru3 0.500 0.000 0.000
Ru4 0.500 0.500 0.500

Calculated values
Density = 8.58 g/cm3
Total DFT energy (no corrections) = -0.1640 Ha/atom